(1)
First-principles (PBE) data for ScMnPd4 after structural relaxation, as listed in Alexandria via LeMat-Bulk.

Results
Formation energy from the elements = -0.52 eV per atom

a = 5.0272 Å, b = 5.0272 Å, c = 4.6852 Å
α = 95.77°, β = 95.77°, γ = 124.25°
Fractional coordinates of all 6 atoms:
Sc1 0.0000 0.0000 0.0000
Mn1 0.5000 0.5000 0.5000
Pd1 0.1632 0.8368 0.5000
Pd2 0.3405 0.6595 0.0000
Pd3 0.6595 0.3405 0.0000
Pd4 0.8368 0.1632 0.5000

=====

(2)
First-principles (PBE) data for ScMn3Pd12 after structural relaxation, as listed in Alexandria via LeMat-Bulk.

Results
Formation energy from the elements = -0.37 eV per atom

a = 3.9495 Å, b = 3.9495 Å, c = 15.7483 Å
α = 90.00°, β = 90.00°, γ = 90.00°
Fractional coordinates of all 16 atoms:
Sc1 0.0000 0.0000 0.0000
Mn1 0.0000 0.0000 0.2537
Mn2 0.0000 0.0000 0.5000
Mn3 0.0000 0.0000 0.7463
Pd1 0.0000 0.5000 0.1292
Pd2 0.0000 0.5000 0.3768
Pd3 0.0000 0.5000 0.6232
Pd4 0.0000 0.5000 0.8708
Pd5 0.5000 0.0000 0.1292
Pd6 0.5000 0.0000 0.3768
Pd7 0.5000 0.0000 0.6232
Pd8 0.5000 0.0000 0.8708
Pd9 0.5000 0.5000 0.0000
Pd10 0.5000 0.5000 0.2528
Pd11 0.5000 0.5000 0.5000
Pd12 0.5000 0.5000 0.7472

=====

(3)
First-principles (PBE) data for ScMn3Pd after structural relaxation, as listed in Alexandria via LeMat-Bulk.

Results
Formation energy from the elements = 1.78 eV per atom

a = 4.2509 Å, b = 4.2509 Å, c = 4.2509 Å
α = 90.00°, β = 90.00°, γ = 90.00°
Fractional coordinates of all 5 atoms:
Sc1 0.0000 0.0000 0.0000
Mn1 0.0000 0.0000 0.5000
Mn2 0.0000 0.5000 0.0000
Mn3 0.5000 0.0000 0.0000
Pd1 0.5000 0.5000 0.5000

=====

(4)
First-principles (PBE) data for ScMn3Pd6 after structural relaxation, as listed in Alexandria via LeMat-Bulk.

Results
Formation energy from the elements = -0.41 eV per atom

a = 8.3828 Å, b = 4.1265 Å, c = 9.1056 Å
α = 90.00°, β = 95.84°, γ = 90.00°
Fractional coordinates of all 20 atoms:
Sc1 0.0629 0.2500 0.3780
Sc2 0.9371 0.7500 0.6220
Mn1 0.2490 0.2500 0.0230
Mn2 0.3458 0.7500 0.8112
Mn3 0.4459 0.2500 0.6034
Mn4 0.5541 0.7500 0.3966
Mn5 0.6542 0.2500 0.1888
Mn6 0.7510 0.7500 0.9770
Pd1 0.0613 0.7500 0.9086
Pd2 0.1575 0.7500 0.2084
Pd3 0.1583 0.2500 0.7095
Pd4 0.2584 0.7500 0.5134
Pd5 0.3755 0.2500 0.3111
Pd6 0.4624 0.7500 0.1018
Pd7 0.5376 0.2500 0.8982
Pd8 0.6245 0.7500 0.6889
Pd9 0.7416 0.2500 0.4866
Pd10 0.8417 0.7500 0.2905
Pd11 0.8425 0.2500 0.7916
Pd12 0.9387 0.2500 0.0914

=====

(5)
First-principles (PBE) data for ScMnPd4 after structural relaxation, as listed in Alexandria via LeMat-Bulk.

Results
Formation energy from the elements = -0.53 eV per atom

a = 4.9638 Å, b = 4.9638 Å, c = 5.8406 Å
α = 106.98°, β = 106.98°, γ = 44.45°
Fractional coordinates of all 6 atoms:
Sc1 0.0000 0.0000 0.0000
Mn1 0.0000 0.0000 0.5000
Pd1 0.3384 0.3384 0.1765
Pd2 0.3378 0.3378 0.6652
Pd3 0.6622 0.6622 0.3348
Pd4 0.6616 0.6616 0.8235

=====

(6)
First-principles (PBE) data for Sc2MnPd6 after structural relaxation, as listed in Alexandria via LeMat-Bulk.

Results
Formation energy from the elements = -0.48 eV per atom

a = 6.2197 Å, b = 6.2197 Å, c = 6.2197 Å
α = 136.26°, β = 106.26°, γ = 89.86°
Fractional coordinates of all 9 atoms:
Sc1 0.1767 0.1767 0.0000
Sc2 0.8233 0.8233 0.0000
Mn1 0.5000 0.5000 0.0000
Pd1 0.0344 0.3388 0.6956
Pd2 0.3103 0.0000 0.3103
Pd3 0.3567 0.6612 0.6956
Pd4 0.6433 0.3388 0.3044
Pd5 0.6897 0.0000 0.6897
Pd6 0.9656 0.6612 0.3044

=====

(7)
First-principles (PBE) data for ScMn2Pd8 after structural relaxation, as listed in Alexandria via LeMat-Bulk.

Results
Formation energy from the elements = -0.35 eV per atom

a = 7.3025 Å, b = 7.3025 Å, c = 7.3025 Å
α = 146.74°, β = 123.27°, γ = 67.37°
Fractional coordinates of all 11 atoms:
Sc1 0.0000 0.0000 0.0000
Mn1 0.3048 0.3048 0.0000
Mn2 0.6952 0.6952 0.0000
Pd1 0.1253 0.8423 0.2830
Pd2 0.1512 0.6512 0.5000
Pd3 0.3024 0.5000 0.8024
Pd4 0.4406 0.1577 0.2830
Pd5 0.5594 0.8423 0.7170
Pd6 0.6976 0.5000 0.1976
Pd7 0.8488 0.3488 0.5000
Pd8 0.8747 0.1577 0.7170

=====

(8)
First-principles (PBE) data for Sc4Mn2Pd after structural relaxation, as listed in Alexandria via LeMat-Bulk.

Results
Formation energy from the elements = 0.32 eV per atom

a = 7.3483 Å, b = 7.3483 Å, c = 7.3483 Å
α = 139.79°, β = 139.79°, γ = 58.17°
Fractional coordinates of all 7 atoms:
Sc1 0.0000 0.5000 0.5000
Sc2 0.2044 0.2044 0.0000
Sc3 0.5000 0.0000 0.5000
Sc4 0.7956 0.7956 0.0000
Mn1 0.4029 0.4029 0.0000
Mn2 0.5971 0.5971 0.0000
Pd1 0.0000 0.0000 0.0000